First-principles (GGA-PBE) data for an optimized crystal structure of Sc2Tl2Ag, as listed in the Alexandria database.

abc: 7.4622 7.4622 4.4212
angles: 90.00 90.00 90.00
With the nearest neighbours (Å) after each atom.
Fractional positions:
Sc 0.1505 0.3495 0.0000  2 Ag 2.84, 2 Tl 3.00, 1 Sc 3.18
Sc 0.3495 0.8495 0.0000  2 Ag 2.84, 2 Tl 3.00, 1 Sc 3.18
Sc 0.6505 0.1505 0.0000  2 Ag 2.84, 2 Tl 3.00, 1 Sc 3.18
Sc 0.8495 0.6505 0.0000  2 Ag 2.84, 2 Tl 3.00, 1 Sc 3.18
Tl 0.1569 0.6569 0.5000  6 Sc 3.00-3.19, 1 Tl 3.31
Tl 0.3431 0.1569 0.5000  6 Sc 3.00-3.19, 1 Tl 3.31
Tl 0.6569 0.8431 0.5000  6 Sc 3.00-3.19, 1 Tl 3.31
Tl 0.8431 0.3431 0.5000  6 Sc 3.00-3.19, 1 Tl 3.31
Ag 0.0000 0.0000 0.0000  4 Sc 2.84
Ag 0.5000 0.5000 0.0000  4 Sc 2.84

Results
Fermi-level density of states in states/eV/atom: 1.13
ΔE to the lowest computed polymorph in eV per formula unit: 0.544
ρ in g cm⁻³: 8.18
Total moment in μB per atom: 0.00
E_form in kJ per mole of atoms: -1.93


First-principles (GGA-PBE) data for an optimized crystal structure of P2IrN, as listed in the Alexandria database.

abc: 5.7031 5.7031 5.7031
angles: 127.28 127.28 77.79
With the nearest neighbours (Å) after each atom.
Fractional positions:
P 0.0801 0.6250 0.9551  2 N 1.98
P 0.3750 0.3301 0.4551  2 N 1.98
P 0.6699 0.1250 0.0449  2 N 1.98
P 0.8750 0.9199 0.5449  2 N 1.98
Ir 0.2500 0.7500 0.5000  4 P 2.25
Ir 0.5000 0.5000 0.0000  4 P 2.25
N 0.0000 0.0000 0.0000  4 P 1.98
N 0.7500 0.2500 0.5000  4 P 1.98

Results
Fermi-level density of states in states/eV/atom: 0.05
Formation energy without anion corrections in eV per atom: 0.22
ρ in g cm⁻³: 7.82
Total moment in μB per atom: 0.00


First-principles (GGA-PBE) data for an optimized crystal structure of Er7Ag3, as listed in the Alexandria database.

abc: 9.9678 9.9678 6.3841
angles: 90.00 90.00 120.00
With the nearest neighbours (Å) after each atom.
Fractional positions:
Er 0.0712 0.5356 0.0000  2 Ag 2.94
Er 0.1259 0.2519 0.7211  3 Ag 2.98-3.05
Er 0.1259 0.8741 0.7211  3 Ag 2.98-3.05
Er 0.2519 0.1259 0.2211  3 Ag 2.98-3.05
Er 0.3333 0.6667 0.5618  3 Ag 2.99
Er 0.4644 0.5356 0.0000  2 Ag 2.94
Er 0.4644 0.9288 0.0000  2 Ag 2.94
Er 0.5356 0.0712 0.5000  2 Ag 2.94
Er 0.5356 0.4644 0.5000  2 Ag 2.94
Er 0.6667 0.3333 0.0618  3 Ag 2.99
Er 0.7481 0.8741 0.7211  3 Ag 2.98-3.05
Er 0.8741 0.1259 0.2211  3 Ag 2.98-3.05
Er 0.8741 0.7481 0.2211  3 Ag 2.98-3.05
Er 0.9288 0.4644 0.5000  2 Ag 2.94
Ag 0.1948 0.3897 0.2816  6 Er 2.94-3.05
Ag 0.1948 0.8052 0.2816  6 Er 2.94-3.05
Ag 0.3897 0.1948 0.7816  6 Er 2.94-3.05
Ag 0.6103 0.8052 0.2816  6 Er 2.94-3.05
Ag 0.8052 0.1948 0.7816  6 Er 2.94-3.05
Ag 0.8052 0.6103 0.7816  6 Er 2.94-3.05

Results
Fermi-level density of states in states/eV/atom: 1.50
ρ in g cm⁻³: 9.03
Total moment in μB per atom: 0.24
E_form in kJ per mole of atoms: -11.78


First-principles (GGA-PBE) data for an optimized crystal structure of Li2LaSmSe4, as listed in the Alexandria database.

abc: 6.9518 4.2306 7.3287
angles: 90.00 110.50 90.00
With the nearest neighbours (Å) after each atom.
Fractional positions:
Li 0.0000 0.0000 0.0000  6 Se 2.87-2.88
Li 0.0000 0.5000 0.5000  6 Se 2.93-2.94
La 0.5000 0.0000 0.5000  6 Se 2.99-3.00
Sm 0.5000 0.5000 0.0000  6 Se 2.93-2.95
Se 0.2400 0.5000 0.2406  3 Li 2.88-2.94, 1 Sm 2.93, 2 La 2.99
Se 0.2421 0.0000 0.7536  3 Li 2.87-2.93, 2 Sm 2.95, 1 La 3.00
Se 0.7579 0.0000 0.2464  3 Li 2.87-2.93, 2 Sm 2.95, 1 La 3.00
Se 0.7600 0.5000 0.7594  3 Li 2.88-2.94, 1 Sm 2.93, 2 La 2.99

Results
Fermi-level density of states in states/eV/atom: 0.00
Formation energy without anion corrections in eV per atom: -1.70
ρ in g cm⁻³: 5.09
Total moment in μB per atom: 0.00


First-principles (GGA-PBE) data for an optimized crystal structure of Pr2Bi4Pb, as listed in the Alexandria database.

abc: 6.8682 6.8682 6.8583
angles: 117.22 117.22 94.76
With the nearest neighbours (Å) after each atom.
Fractional positions:
Pr 0.0000 0.5000 0.0000  8 Bi 3.43-3.44, 2 Pb 3.57
Pr 0.5000 0.0000 0.0000  8 Bi 3.43-3.44, 2 Pb 3.57
Bi 0.0000 0.0000 0.0000  2 Pb 3.43, 4 Pr 3.43, 4 Bi 3.57
Bi 0.0000 0.5000 0.5000  4 Pr 3.43-3.44, 2 Pb 3.43, 4 Bi 3.57
Bi 0.5000 0.0000 0.5000  4 Pr 3.43-3.44, 2 Pb 3.43, 4 Bi 3.57
Bi 0.5000 0.5000 0.0000  4 Pr 3.43, 2 Pb 3.44, 4 Bi 3.57
Pb 0.0000 0.0000 0.5000  8 Bi 3.43-3.44, 4 Pr 3.57

Results
Fermi-level density of states in states/eV/atom: 0.70
ΔE to the lowest computed polymorph in eV per formula unit: 0.370
ρ in g cm⁻³: 9.25
Total moment in μB per atom: 0.00
E_form in kJ per mole of atoms: -43.83


First-principles (GGA-PBE) data for an optimized crystal structure of ThAl2Re, as listed in the Alexandria database.

abc: 5.4053 5.4053 7.8357
angles: 90.00 90.00 134.97
With the nearest neighbours (Å) after each atom.
Fractional positions:
Th 0.0655 0.9345 0.7500  3 Re 2.77-3.04
Th 0.9345 0.0655 0.2500  3 Re 2.77-3.04
Al 0.3445 0.6555 0.5502  3 Re 2.66-2.70, 2 Al 2.91
Al 0.3445 0.6555 0.9498  3 Re 2.66-2.70, 2 Al 2.91
Al 0.6555 0.3445 0.0502  3 Re 2.66-2.70, 2 Al 2.91
Al 0.6555 0.3445 0.4498  3 Re 2.66-2.70, 2 Al 2.91
Re 0.2122 0.7878 0.2500  6 Al 2.66-2.70, 1 Th 2.77
Re 0.7878 0.2122 0.7500  6 Al 2.66-2.70, 1 Th 2.77

Results
Fermi-level density of states in states/eV/atom: 0.60
ΔE to the lowest computed polymorph in eV per formula unit: 0.000
ρ in g cm⁻³: 9.68
Total moment in μB per atom: 0.00
E_form in kJ per mole of atoms: -26.80


First-principles (GGA-PBE) data for an optimized crystal structure of Rb2ReMo, as listed in the Alexandria database.

abc: 9.8328 9.8328 9.8328
angles: 93.28 93.28 152.31
With the nearest neighbours (Å) after each atom.
Fractional positions:
Rb 0.3750 0.2031 0.3281  2 Mo 3.58, 2 Re 3.95
Rb 0.7969 0.1250 0.1719  2 Mo 3.58, 2 Re 3.95
Rb 0.8750 0.0469 0.6719  2 Mo 3.58, 2 Re 3.95
Rb 0.9531 0.6250 0.8281  2 Mo 3.58, 2 Re 3.95
Re 0.2500 0.7500 0.5000  2 Mo 2.35
Re 0.5000 0.5000 0.0000  2 Mo 2.35
Mo 0.0000 0.0000 0.0000  2 Re 2.35
Mo 0.7500 0.2500 0.5000  2 Re 2.35

Results
Fermi-level density of states in states/eV/atom: 0.87
ΔE to the lowest computed polymorph in eV per formula unit: 0.000
ρ in g cm⁻³: 3.51
Total moment in μB per atom: 0.06
E_form in kJ per mole of atoms: 170.72


First-principles (GGA-PBE) data for an optimized crystal structure of PmEr6Tl6, as listed in the Alexandria database.

abc: 6.7896 6.7896 9.8874
angles: 90.00 90.00 120.00
With the nearest neighbours (Å) after each atom.
Fractional positions:
Pm 0.0000 0.0000 0.0000  2 Tl 3.14
Er 0.0000 0.5000 0.2451  6 Tl 3.12-3.47, 4 Er 3.39
Er 0.0000 0.5000 0.7549  6 Tl 3.12-3.47, 4 Er 3.39
Er 0.5000 0.0000 0.2451  6 Tl 3.12-3.47, 4 Er 3.39
Er 0.5000 0.0000 0.7549  6 Tl 3.12-3.47, 4 Er 3.39
Er 0.5000 0.5000 0.2451  6 Tl 3.12-3.47, 4 Er 3.39
Er 0.5000 0.5000 0.7549  6 Tl 3.12-3.47, 4 Er 3.39
Tl 0.0000 0.0000 0.3173  1 Pm 3.14, 6 Er 3.47
Tl 0.0000 0.0000 0.6827  1 Pm 3.14, 6 Er 3.47
Tl 0.3333 0.6667 0.0000  6 Er 3.12
Tl 0.3333 0.6667 0.5000  6 Er 3.19
Tl 0.6667 0.3333 0.0000  6 Er 3.12
Tl 0.6667 0.3333 0.5000  6 Er 3.19

Results
Fermi-level density of states in states/eV/atom: 0.86
ρ in g cm⁻³: 9.99
Total moment in μB per atom: 0.00
E_form in kJ per mole of atoms: -12.58


First-principles (GGA-PBE) data for an optimized crystal structure of CaLaPrZn, as listed in the Alexandria database.

abc: 5.5914 5.5914 5.5914
angles: 60.00 60.00 60.00
With the nearest neighbours (Å) after each atom.
Fractional positions:
Ca 0.0000 0.0000 0.0000  4 La 3.42, 4 Pr 3.42
La 0.2500 0.2500 0.2500  4 Zn 3.42, 4 Ca 3.42
Pr 0.7500 0.7500 0.7500  4 Zn 3.42, 4 Ca 3.42
Zn 0.5000 0.5000 0.5000  4 Pr 3.42, 4 La 3.42

Results
Fermi-level density of states in states/eV/atom: 1.24
ΔE to the lowest computed polymorph in eV per formula unit: 0.538
ρ in g cm⁻³: 5.18
Total moment in μB per atom: 0.00
E_form in kJ per mole of atoms: 1.88


First-principles (GGA-PBE) data for an optimized crystal structure of Li2YbSn, as listed in the Alexandria database.

abc: 4.8737 4.8737 4.8737
angles: 60.00 60.00 60.00
With the nearest neighbours (Å) after each atom.
Fractional positions:
Li 0.2500 0.2500 0.2500  4 Sn 2.98, 4 Yb 2.98
Li 0.7500 0.7500 0.7500  4 Sn 2.98, 4 Yb 2.98
Yb 0.0000 0.0000 0.0000  8 Li 2.98
Sn 0.5000 0.5000 0.5000  8 Li 2.98

Results
Fermi-level density of states in states/eV/atom: 0.02
ρ in g cm⁻³: 6.20
Total moment in μB per atom: 0.00
E_form in kJ per mole of atoms: -48.78


First-principles (GGA-PBE) data for an optimized crystal structure of Be2TcBiBr, as listed in the Alexandria database.

abc: 4.5055 4.5055 5.2680
angles: 90.00 90.00 90.00
With the nearest neighbours (Å) after each atom.
Fractional positions:
Be 0.0000 0.5000 0.0000  2 Tc 2.25
Be 0.5000 0.0000 0.0000  2 Tc 2.25
Tc 0.0000 0.0000 0.0000  4 Be 2.25
Bi 0.0000 0.0000 0.5000  2 Tc 2.63
Br 0.5000 0.5000 0.5000  4 Bi 3.19, 8 Be 3.47

Results
Fermi-level density of states in states/eV/atom: 0.71
Formation energy without anion corrections in eV per atom: 0.77
ρ in g cm⁻³: 6.29
Total moment in μB per atom: 0.00


First-principles (GGA-PBE) data for an optimized crystal structure of Ti2NiHg2S6, as listed in the Alexandria database.

abc: 5.8574 5.8574 9.2577
angles: 96.42 96.42 120.90
With the nearest neighbours (Å) after each atom.
Fractional positions:
Ti 0.1647 0.8353 0.0000  6 S 2.42-2.44
Ti 0.8353 0.1647 0.0000  6 S 2.42-2.44
Ni 0.5000 0.5000 0.0000  6 S 2.32
Hg 0.2512 0.7488 0.5000  2 Hg 2.89
Hg 0.7488 0.2512 0.5000  2 Hg 2.89
S 0.1236 0.1236 0.8445  1 Ni 2.32, 2 Ti 2.42
S 0.2385 0.5584 0.1535  1 Ni 2.32, 2 Ti 2.42-2.44
S 0.4416 0.7615 0.8465  1 Ni 2.32, 2 Ti 2.42-2.44
S 0.5584 0.2385 0.1535  1 Ni 2.32, 2 Ti 2.42-2.44
S 0.7615 0.4416 0.8465  1 Ni 2.32, 2 Ti 2.42-2.44
S 0.8764 0.8764 0.1555  1 Ni 2.32, 2 Ti 2.42

Results
Fermi-level density of states in states/eV/atom: 0.34
Formation energy without anion corrections in eV per atom: -0.72
ρ in g cm⁻³: 4.68
Total moment in μB per atom: 0.00